Record 1
Material: SrPr12Y6
Method: DFT, PBE-GGA
State: relaxed

extended XYZ file:
```
19
Lattice="8.924 -0.129 -1.201 -1.356 8.821 -1.201 -0.113 -0.129 9.003" Properties=species:S:1:pos:R:3 pbc="T T T"
Pr 6.082 4.281 0.642
Pr 2.702 3.104 -0.105
Pr 3.403 6.613 0.642
Pr 4.752 5.458 6.706
Pr 4.411 7.914 3.906
Pr 7.232 5.458 3.906
Pr 1.373 4.281 5.959
Pr 3.043 0.648 2.695
Pr 6.406 1.949 3.301
Pr 1.049 6.613 3.301
Pr 4.051 1.949 5.959
Pr 0.223 3.104 2.695
Y 0.693 0.796 5.635
Y 0.007 5.733 0.006
Y 6.761 7.766 0.966
Y 1.777 7.766 6.595
Y 5.678 0.796 0.006
Y 7.448 2.828 6.595
Sr 0.000 0.000 0.000
```


Record 2
Material: SrPr8Y6
Method: DFT, PBE-GGA
State: relaxed

extended XYZ file:
```
15
Lattice="7.874 -0.311 2.948 1.938 7.638 2.948 -0.417 -0.311 8.398" Properties=species:S:1:pos:R:3 pbc="T T T"
Pr 7.475 0.595 8.359
Pr 7.488 2.670 4.117
Pr 6.606 6.998 5.787
Pr 1.908 4.347 10.177
Pr 2.790 0.018 8.506
Pr 2.239 1.672 3.406
Pr 1.921 6.421 5.934
Pr 7.157 5.344 10.888
Y 4.374 6.003 8.323
Y 1.962 3.058 6.977
Y 4.866 2.489 9.725
Y 7.433 3.958 7.316
Y 4.530 4.527 4.568
Y 5.021 1.013 5.970
Sr 0.000 0.000 0.000
```


| no. | total magnetization (μB/f.u.) | ΔE_f (meV/atom) |
| --- | --- | --- |
| 1 | 0.00 | 186 |
| 2 | 0.00 | 185 |